RbSe2: relaxed, PBE-GGA.

Cell lengths 4.571, 5.029, 5.753 Å; angles 77.64, 63.39, 87.09 degrees
Element x y z (fractional)
Rb (0.623, 0.026, 0.447)
Se (0.377, 0.421, 0.948)
Se (0.868, 0.632, 0.947)

Output
* space-group type: P-1
* E_form (uncorrected): -641.9 meV per atom
* magnetic moment: 0.000 μB/atom